(1)
Compound: Eu2N
Source: the Alexandria database
Functional: GGA-PBE
Structure: relaxed

Values from the calculation:
- M_tot: 14.7 μB per formula unit
- Space group: Immm
- Formation energy from raw total energies: -0.37 eV per atom

CIF file:
```
data_Eu2N
_chemical_formula_sum 'Eu2 N1'
_symmetry_space_group_name_H-M 'P 1'
_symmetry_Int_Tables_number 1
_symmetry_space_group_name_Hall 'P 1'
_cell_length_a 5.0283
_cell_length_b 5.0283
_cell_length_c 5.0283
_cell_angle_alpha 138.55
_cell_angle_beta 100.29
_cell_angle_gamma 94.12
loop_
_atom_site_label
_atom_site_type_symbol
_atom_site_fract_x
_atom_site_fract_y
_atom_site_fract_z
Eu1 Eu 0.2367 0.2367 0.0000
Eu2 Eu 0.7633 0.7633 0.0000
N1 N 0.0000 0.5000 0.5000
```


(2)
Compound: LaTcGe3
Source: the Alexandria database
Functional: GGA-PBE
Structure: relaxed

Values from the calculation:
- M_tot: 0.0 μB per formula unit
- Space group: I4mm
- E: -31.62 eV per cell

CIF file:
```
data_LaTcGe3
_chemical_formula_sum 'La1 Tc1 Ge3'
_symmetry_space_group_name_H-M 'P 1'
_symmetry_Int_Tables_number 1
_symmetry_space_group_name_Hall 'P 1'
_cell_length_a 6.0596
_cell_length_b 6.0596
_cell_length_c 6.0596
_cell_angle_alpha 136.46
_cell_angle_beta 136.46
_cell_angle_gamma 63.27
loop_
_atom_site_label
_atom_site_type_symbol
_atom_site_fract_x
_atom_site_fract_y
_atom_site_fract_z
La1 La 0.0000 0.0000 0.0000
Tc1 Tc 0.6626 0.6626 0.0000
Ge1 Ge 0.2613 0.7613 0.5000
Ge2 Ge 0.4315 0.4315 0.0000
Ge3 Ge 0.7613 0.2613 0.5000
```


(3)
Compound: CsZnCd
Source: the Alexandria database
Functional: GGA-PBE
Structure: relaxed

Values from the calculation:
- M_tot: 0.0 μB per formula unit
- Space group: P2_1/m
- E: -5.72 eV per cell

CIF file:
```
data_CsZnCd
_chemical_formula_sum 'Cs2 Zn2 Cd2'
_symmetry_space_group_name_H-M 'P 1'
_symmetry_Int_Tables_number 1
_symmetry_space_group_name_Hall 'P 1'
_cell_length_a 6.5935
_cell_length_b 4.5953
_cell_length_c 6.9974
_cell_angle_alpha 90.00
_cell_angle_beta 101.43
_cell_angle_gamma 90.00
loop_
_atom_site_label
_atom_site_type_symbol
_atom_site_fract_x
_atom_site_fract_y
_atom_site_fract_z
Cs1 Cs 0.2458 0.2500 0.4495
Cs2 Cs 0.7542 0.7500 0.5505
Zn1 Zn 0.0699 0.2500 0.9336
Zn2 Zn 0.9301 0.7500 0.0664
Cd1 Cd 0.3454 0.7500 0.9539
Cd2 Cd 0.6546 0.2500 0.0461
```


(4)
Compound: ScFeHg2
Source: the Alexandria database
Functional: GGA-PBE
Structure: relaxed

Values from the calculation:
- M_tot: 1.3 μB per formula unit
- Space group: R3m
- E: -14.76 eV per cell

CIF file:
```
data_ScFeHg2
_chemical_formula_sum 'Sc1 Fe1 Hg2'
_symmetry_space_group_name_H-M 'P 1'
_symmetry_Int_Tables_number 1
_symmetry_space_group_name_Hall 'P 1'
_cell_length_a 9.0252
_cell_length_b 9.0252
_cell_length_c 9.0252
_cell_angle_alpha 20.87
_cell_angle_beta 20.87
_cell_angle_gamma 20.87
loop_
_atom_site_label
_atom_site_type_symbol
_atom_site_fract_x
_atom_site_fract_y
_atom_site_fract_z
Sc1 Sc 0.0000 0.0000 0.0000
Fe1 Fe 0.2633 0.2633 0.2633
Hg1 Hg 0.5197 0.5197 0.5197
Hg2 Hg 0.7571 0.7571 0.7571
```


(5)
Compound: TbHo2Er8
Source: the Alexandria database
Functional: GGA-PBE
Structure: relaxed

Values from the calculation:
- M_tot: 0.0 μB per formula unit
- Space group: C2/m
- E: -48.12 eV per cell

CIF file:
```
data_TbHo2Er8
_chemical_formula_sum 'Tb1 Ho2 Er8'
_symmetry_space_group_name_H-M 'P 1'
_symmetry_Int_Tables_number 1
_symmetry_space_group_name_Hall 'P 1'
_cell_length_a 9.1265
_cell_length_b 9.1265
_cell_length_c 6.4423
_cell_angle_alpha 108.00
_cell_angle_beta 108.00
_cell_angle_gamma 42.47
loop_
_atom_site_label
_atom_site_type_symbol
_atom_site_fract_x
_atom_site_fract_y
_atom_site_fract_z
Tb1 Tb 0.0000 0.0000 0.0000
Ho1 Ho 0.2804 0.2804 0.8956
Ho2 Ho 0.7196 0.7196 0.1044
Er1 Er 0.1391 0.6580 0.3109
Er2 Er 0.2099 0.2099 0.3329
Er3 Er 0.3420 0.8609 0.6891
Er4 Er 0.4396 0.4396 0.7560
Er5 Er 0.5604 0.5604 0.2440
Er6 Er 0.6580 0.1391 0.3109
Er7 Er 0.7901 0.7901 0.6671
Er8 Er 0.8609 0.3420 0.6891
```


(6)
Compound: MgBiAu
Source: the Alexandria database
Functional: GGA-PBE
Structure: relaxed

Values from the calculation:
- M_tot: 0.0 μB per formula unit
- Space group: P1
- E: -18.97 eV per cell

CIF file:
```
data_MgBiAu
_chemical_formula_sum 'Mg2 Bi2 Au2'
_symmetry_space_group_name_H-M 'P 1'
_symmetry_Int_Tables_number 1
_symmetry_space_group_name_Hall 'P 1'
_cell_length_a 4.6877
_cell_length_b 4.7073
_cell_length_c 8.0615
_cell_angle_alpha 106.25
_cell_angle_beta 90.51
_cell_angle_gamma 119.73
loop_
_atom_site_label
_atom_site_type_symbol
_atom_site_fract_x
_atom_site_fract_y
_atom_site_fract_z
Mg1 Mg 0.0000 0.0000 0.0000
Mg2 Mg 0.4159 0.8386 0.2482
Bi1 Bi 0.2718 0.5434 0.8168
Bi2 Bi 0.8419 0.6900 0.5215
Au1 Au 0.1217 0.2524 0.3646
Au2 Au 0.6910 0.3807 0.0707
```


(7)
Compound: Sm3Er6Tm2Zr
Source: the Alexandria database
Functional: GGA-PBE
Structure: relaxed

Values from the calculation:
- M_tot: 0.0 μB per formula unit
- Space group: C2/m
- E: -58.53 eV per cell

CIF file:
```
data_Sm3Er6Tm2Zr
_chemical_formula_sum 'Sm3 Er6 Tm2 Zr1'
_symmetry_space_group_name_H-M 'P 1'
_symmetry_Int_Tables_number 1
_symmetry_space_group_name_Hall 'P 1'
_cell_length_a 6.0699
_cell_length_b 6.0699
_cell_length_c 11.5782
_cell_angle_alpha 95.00
_cell_angle_beta 95.00
_cell_angle_gamma 119.94
loop_
_atom_site_label
_atom_site_type_symbol
_atom_site_fract_x
_atom_site_fract_y
_atom_site_fract_z
Sm1 Sm 0.0000 0.0000 0.0000
Sm2 Sm 0.3336 0.6664 0.0000
Sm3 Sm 0.6664 0.3336 0.0000
Er1 Er 0.0929 0.4197 0.2583
Er2 Er 0.2537 0.2537 0.7414
Er3 Er 0.4197 0.0929 0.2583
Er4 Er 0.5803 0.9071 0.7417
Er5 Er 0.7463 0.7463 0.2586
Er6 Er 0.9071 0.5803 0.7417
Tm1 Tm 0.1667 0.8333 0.5000
Tm2 Tm 0.8333 0.1667 0.5000
Zr1 Zr 0.5000 0.5000 0.5000
```


(8)
Compound: BePt3
Source: the Alexandria database
Functional: GGA-PBE
Structure: relaxed

Values from the calculation:
- M_tot: 0.0 μB per formula unit
- Space group: Pnma
- E: -93.58 eV per cell

CIF file:
```
data_BePt3
_chemical_formula_sum 'Be4 Pt12'
_symmetry_space_group_name_H-M 'P 1'
_symmetry_Int_Tables_number 1
_symmetry_space_group_name_Hall 'P 1'
_cell_length_a 5.3975
_cell_length_b 7.7385
_cell_length_c 5.3832
_cell_angle_alpha 90.00
_cell_angle_beta 90.00
_cell_angle_gamma 90.00
loop_
_atom_site_label
_atom_site_type_symbol
_atom_site_fract_x
_atom_site_fract_y
_atom_site_fract_z
Be1 Be 0.0615 0.2500 0.0591
Be2 Be 0.4385 0.7500 0.5591
Be3 Be 0.5615 0.2500 0.4409
Be4 Be 0.9385 0.7500 0.9409
Pt1 Pt 0.0019 0.2500 0.5055
Pt2 Pt 0.1798 0.5010 0.8197
Pt3 Pt 0.1798 0.9990 0.8197
Pt4 Pt 0.3202 0.0010 0.3197
Pt5 Pt 0.3202 0.4990 0.3197
Pt6 Pt 0.4981 0.7500 0.0055
Pt7 Pt 0.5019 0.2500 0.9945
Pt8 Pt 0.6798 0.5010 0.6803
Pt9 Pt 0.6798 0.9990 0.6803
Pt10 Pt 0.8202 0.0010 0.1803
Pt11 Pt 0.8202 0.4990 0.1803
Pt12 Pt 0.9981 0.7500 0.4945
```


(9)
Compound: MgPdAu
Source: the Alexandria database
Functional: GGA-PBE
Structure: relaxed

Values from the calculation:
- M_tot: 0.0 μB per formula unit
- Space group: P2/m
- E: -11.17 eV per cell

CIF file:
```
data_MgPdAu
_chemical_formula_sum 'Mg1 Pd1 Au1'
_symmetry_space_group_name_H-M 'P 1'
_symmetry_Int_Tables_number 1
_symmetry_space_group_name_Hall 'P 1'
_cell_length_a 4.1413
_cell_length_b 3.3487
_cell_length_c 4.3172
_cell_angle_alpha 90.00
_cell_angle_beta 90.10
_cell_angle_gamma 90.00
loop_
_atom_site_label
_atom_site_type_symbol
_atom_site_fract_x
_atom_site_fract_y
_atom_site_fract_z
Mg1 Mg 0.0000 0.0000 0.0000
Pd1 Pd 0.5000 0.5000 0.0000
Au1 Au 0.5000 0.0000 0.5000
```


(10)
Compound: ErNbTc4
Source: the Alexandria database
Functional: GGA-PBE
Structure: relaxed

Values from the calculation:
- M_tot: 0.0 μB per formula unit
- Space group: F-43m
- E: -56.66 eV per cell

CIF file:
```
data_ErNbTc4
_chemical_formula_sum 'Er1 Nb1 Tc4'
_symmetry_space_group_name_H-M 'P 1'
_symmetry_Int_Tables_number 1
_symmetry_space_group_name_Hall 'P 1'
_cell_length_a 5.2686
_cell_length_b 5.2686
_cell_length_c 5.2686
_cell_angle_alpha 60.00
_cell_angle_beta 60.00
_cell_angle_gamma 60.00
loop_
_atom_site_label
_atom_site_type_symbol
_atom_site_fract_x
_atom_site_fract_y
_atom_site_fract_z
Er1 Er 0.0000 0.0000 0.0000
Nb1 Nb 0.7500 0.7500 0.7500
Tc1 Tc 0.3754 0.3754 0.3754
Tc2 Tc 0.3754 0.3754 0.8738
Tc3 Tc 0.3754 0.8738 0.3754
Tc4 Tc 0.8738 0.3754 0.3754
```


(11)
Compound: LaCuSeN2
Source: the Alexandria database
Functional: GGA-PBE
Structure: relaxed

Values from the calculation:
- M_tot: 0.1 μB per formula unit
- Space group: P4/mmm
- Formation energy from raw total energies: 0.32 eV per atom

CIF file:
```
data_LaCuSeN2
_chemical_formula_sum 'La1 Cu1 Se1 N2'
_symmetry_space_group_name_H-M 'P 1'
_symmetry_Int_Tables_number 1
_symmetry_space_group_name_Hall 'P 1'
_cell_length_a 4.1288
_cell_length_b 4.1288
_cell_length_c 4.6044
_cell_angle_alpha 90.00
_cell_angle_beta 90.00
_cell_angle_gamma 90.00
loop_
_atom_site_label
_atom_site_type_symbol
_atom_site_fract_x
_atom_site_fract_y
_atom_site_fract_z
La1 La 0.0000 0.0000 0.0000
Cu1 Cu 0.5000 0.5000 0.5000
Se1 Se 0.5000 0.5000 0.0000
N1 N 0.0000 0.5000 0.5000
N2 N 0.5000 0.0000 0.5000
```


(12)
Compound: LiYAl2
Source: the Alexandria database
Functional: GGA-PBE
Structure: relaxed

Values from the calculation:
- M_tot: 0.0 μB per formula unit
- Space group: P4mm
- E: -16.28 eV per cell

CIF file:
```
data_LiYAl2
_chemical_formula_sum 'Li1 Y1 Al2'
_symmetry_space_group_name_H-M 'P 1'
_symmetry_Int_Tables_number 1
_symmetry_space_group_name_Hall 'P 1'
_cell_length_a 3.3687
_cell_length_b 3.3687
_cell_length_c 7.1375
_cell_angle_alpha 90.00
_cell_angle_beta 90.00
_cell_angle_gamma 90.00
loop_
_atom_site_label
_atom_site_type_symbol
_atom_site_fract_x
_atom_site_fract_y
_atom_site_fract_z
Li1 Li 0.0000 0.0000 0.0000
Y1 Y 0.5000 0.5000 0.3146
Al1 Al 0.0000 0.0000 0.5968
Al2 Al 0.5000 0.5000 0.8069
```


Which value of M_tot does entry 12 give?
0.0 μB per formula unit


Which value of M_tot does entry 11 give?
0.1 μB per formula unit


Which formula does entry 10 have?
ErNbTc4